DFT (PBE) results for a relaxed Cs2Na5Hg3 crystal.

Cell: 7.2822 10.5873 10.5876 Å, 98.52 100.69 100.68°
Last column: nearest neighbours and their distance in Å.
Positions (direct):
1 Cs 0.9580 0.5822 0.1718  3 Hg 3.78-3.91, 5 Na 3.89-4.15, 1 Cs 4.00
2 Cs 0.4580 0.1718 0.5822  3 Hg 3.78-3.91, 5 Na 3.89-4.15, 1 Cs 4.00
3 Cs 0.0420 0.4178 0.8282  3 Hg 3.78-3.91, 5 Na 3.89-4.15, 1 Cs 4.00
4 Cs 0.5420 0.8282 0.4178  3 Hg 3.78-3.91, 5 Na 3.89-4.15, 1 Cs 4.00
5 Na 0.4876 0.2683 0.9558  1 Na 3.21, 3 Hg 3.34-3.45
6 Na 0.9876 0.9558 0.2683  1 Na 3.21, 3 Hg 3.34-3.45
7 Na 0.5124 0.7317 0.0442  1 Na 3.21, 3 Hg 3.34-3.45
8 Na 0.0124 0.0442 0.7317  1 Na 3.21, 3 Hg 3.34-3.45
9 Na 0.8767 0.7721 0.8217  3 Hg 3.14-3.35, 1 Na 3.21
10 Na 0.1233 0.2279 0.1783  3 Hg 3.14-3.35, 1 Na 3.21
11 Na 0.7500 0.5036 0.4964  4 Hg 3.30-3.63, 2 Na 3.64
12 Na 0.2500 0.4964 0.5036  4 Hg 3.30-3.63, 2 Na 3.64
13 Na 0.6233 0.1783 0.2279  3 Hg 3.14-3.35, 1 Na 3.21
14 Na 0.3767 0.8217 0.7721  3 Hg 3.14-3.35, 1 Na 3.21
15 Hg 0.5497 0.5217 0.7863  4 Na 3.14-3.45
16 Hg 0.0497 0.7863 0.5217  4 Na 3.14-3.45
17 Hg 0.4503 0.4783 0.2137  4 Na 3.14-3.45
18 Hg 0.9503 0.2137 0.4783  4 Na 3.14-3.45
19 Hg 0.2500 0.9613 0.0387  8 Na 3.31-3.69
20 Hg 0.7500 0.0387 0.9613  8 Na 3.31-3.69

Total magnetization: 0.00 μB/cell
Calculated total energy: -1.042 eV per atom
ρ: 4.22 g cm⁻³